The following is a DFT calculation (PBE) of an optimized crystal structure of Tb2Al2Ag.

```
Tb2Al2Ag
1.0
4.547 0.000 0.000
2.274 5.402 -0.365
2.274 0.182 9.511
Tb Al Ag
4 4 2
direct
0.682 0.309 0.328 Tb
0.921 0.262 0.897 Tb
0.318 0.691 0.672 Tb
0.079 0.738 0.103 Tb
0.075 0.287 0.563 Al
0.635 0.844 0.886 Al
0.925 0.713 0.437 Al
0.365 0.156 0.114 Al
0.624 0.101 0.650 Ag
0.376 0.899 0.350 Ag
```

Results
**ΔE_f**: -2.0 eV per formula unit
**Volume**: 23.4 A^3/atom
**SG**: C2/m (12)
**Density of states at the Fermi level**: 0.702 states/eV per atom